Entry 1:
## K4LaTc (PBE)

Data for K4LaTc after structural relaxation.

Summary:
As for the total energy: -50.27 eV for the cell shown. Its density of states at the Fermi level is 2.07 states/eV/atom. The crystal system is cubic.

Unit cell a=10.1467 b=10.1467 c=10.1467 alpha=90.00 beta=90.00 gamma=90.00
Space group F-43m (No. 216)
Symmetry-distinct sites (fractional):
K 0.1232 0.1232 0.3768 x16
La 0.0000 0.0000 0.0000 x4
Tc 0.2500 0.2500 0.7500 x4

---

Entry 2:
## KLaTc2 (PBE)

Data for KLaTc2 after structural relaxation.

Summary:
As for the total energy: -24.79 eV for the cell shown. Its density of states at the Fermi level is 0.81 states/eV/atom. The crystal system is orthorhombic.

Unit cell a=3.4401 b=3.4685 c=9.6740 alpha=90.00 beta=90.00 gamma=90.00
Space group Pmm2 (No. 25)
Symmetry-distinct sites (fractional):
K 0.0000 0.0000 0.0000 x1
La 0.5000 0.5000 0.4102 x1
Tc 0.0000 0.0000 0.6458 x1
Tc 0.5000 0.5000 0.7051 x1

---

Entry 3:
## K2LaTc (PBE)

Data for K2LaTc after structural relaxation.

Summary:
As for the total energy: -52.27 eV for the cell shown. Its density of states at the Fermi level is 1.75 states/eV/atom. The crystal system is cubic.

Unit cell a=7.9404 b=7.9404 c=7.9404 alpha=90.00 beta=90.00 gamma=90.00
Space group F-43m (No. 216)
Symmetry-distinct sites (fractional):
K 0.0000 0.0000 0.0000 x4
K 0.2500 0.2500 0.2500 x4
La 0.2500 0.2500 0.7500 x4
Tc 0.0000 0.0000 0.5000 x4

---

Entry 4:
## KLaTc (PBE)

Data for KLaTc after structural relaxation.

Summary:
As for the total energy: -28.74 eV for the cell shown. Its density of states at the Fermi level is 1.02 states/eV/atom. The crystal system is orthorhombic.

Unit cell a=3.4150 b=4.1980 c=13.7053 alpha=90.00 beta=90.00 gamma=90.00
Space group Imm2 (No. 44)
Symmetry-distinct sites (fractional):
K 0.0000 0.0000 0.0000 x2
La 0.0000 0.0000 0.2569 x2
Tc 0.0000 0.0000 0.7185 x2

---

Entry 5:
## KLa2Tc (PBE)

Data for KLa2Tc after structural relaxation.

Summary:
As for the total energy: -70.97 eV for the cell shown. Its density of states at the Fermi level is 0.87 states/eV/atom. The crystal system is cubic.

Unit cell a=7.5903 b=7.5903 c=7.5903 alpha=90.00 beta=90.00 gamma=90.00
Space group F-43m (No. 216)
Symmetry-distinct sites (fractional):
K 0.0000 0.0000 0.0000 x4
La 0.0000 0.0000 0.5000 x4
La 0.2500 0.2500 0.7500 x4
Tc 0.2500 0.2500 0.2500 x4

---

Entry 6:
## K2LaTc (PBE)

Data for K2LaTc after structural relaxation.

Summary:
As for the total energy: -25.29 eV for the cell shown. Its density of states at the Fermi level is 1.45 states/eV/atom. The crystal system is orthorhombic.

Unit cell a=3.5004 b=5.4786 c=13.3410 alpha=90.00 beta=90.00 gamma=90.00
Space group Cmmm (No. 65)
Symmetry-distinct sites (fractional):
K 0.0000 0.0000 0.2113 x4
La 0.0000 0.5000 0.5000 x2
Tc 0.0000 0.5000 0.0000 x2

---

Entry 7:
## KLa2Tc (PBE)

Data for KLa2Tc after structural relaxation.

Summary:
As for the total energy: -76.03 eV for the cell shown. Its density of states at the Fermi level is 0.89 states/eV/atom. The crystal system is cubic.

Unit cell a=7.5989 b=7.5989 c=7.5989 alpha=90.00 beta=90.00 gamma=90.00
Space group Fm-3m (No. 225)
Symmetry-distinct sites (fractional):
K 0.0000 0.0000 0.0000 x4
La 0.2500 0.2500 0.2500 x8
Tc 0.0000 0.0000 0.5000 x4

---

Entry 8:
## K2LaTc (PBE)

Data for K2LaTc after structural relaxation.

Summary:
As for the total energy: -30.50 eV for the cell shown. Its density of states at the Fermi level is 0.62 states/eV/atom. The crystal system is monoclinic.

Unit cell a=9.0787 b=3.6403 c=10.5112 alpha=90.00 beta=102.70 gamma=90.00
Space group Cm (No. 8)
Symmetry-distinct sites (fractional):
K 0.0000 0.0000 0.0000 x2
K 0.1589 0.0000 0.6143 x2
La 0.3374 0.0000 0.3072 x2
Tc 0.1495 0.5000 0.3069 x2

---

Entry 9:
## K2LaTc (PBE)

Data for K2LaTc after structural relaxation.

Summary:
As for the total energy: -25.94 eV for the cell shown. Its density of states at the Fermi level is 1.27 states/eV/atom. The crystal system is orthorhombic.

Unit cell a=5.7908 b=13.2082 c=3.5992 alpha=90.00 beta=90.00 gamma=90.00
Space group Cmmm (No. 65)
Symmetry-distinct sites (fractional):
K 0.2500 0.2500 0.0000 x4
La 0.0000 0.0000 0.5000 x2
Tc 0.0000 0.5000 0.5000 x2

---

Entry 10:
## KLaTc2 (PBE)

Data for KLaTc2 after structural relaxation.

Summary:
As for the total energy: -84.34 eV for the cell shown. Its density of states at the Fermi level is 1.22 states/eV/atom. The crystal system is cubic.

Unit cell a=7.1938 b=7.1938 c=7.1938 alpha=90.00 beta=90.00 gamma=90.00
Space group Fm-3m (No. 225)
Symmetry-distinct sites (fractional):
K 0.0000 0.0000 0.0000 x4
La 0.0000 0.0000 0.5000 x4
Tc 0.2500 0.2500 0.2500 x8

---

Entry 11:
## KLaTc2 (PBE)

Data for KLaTc2 after structural relaxation.

Summary:
As for the total energy: -24.89 eV for the cell shown. Its density of states at the Fermi level is 0.86 states/eV/atom. The crystal system is monoclinic.

Unit cell a=3.1335 b=4.0714 c=9.2481 alpha=90.00 beta=99.04 gamma=90.00
Space group Pm (No. 6)
Symmetry-distinct sites (fractional):
K 0.0000 0.0000 0.0000 x1
La 0.6036 0.5000 0.4336 x1
Tc 0.0869 0.0000 0.6347 x1
Tc 0.4797 0.5000 0.7129 x1

---

Entry 12:
## KLaTc (PBE)

Data for KLaTc after structural relaxation.

Summary:
As for the total energy: -51.12 eV for the cell shown. Its density of states at the Fermi level is 1.86 states/eV/atom. The crystal system is cubic.

Unit cell a=7.2003 b=7.2003 c=7.2003 alpha=90.00 beta=90.00 gamma=90.00
Space group F-43m (No. 216)
Symmetry-distinct sites (fractional):
K 0.0000 0.0000 0.0000 x4
La 0.0000 0.0000 0.5000 x4
Tc 0.2500 0.2500 0.7500 x4

---

Entry 13:
## KLa2Tc (PBE)

Data for KLa2Tc after structural relaxation.

Summary:
As for the total energy: -35.65 eV for the cell shown. Its density of states at the Fermi level is 1.51 states/eV/atom. The crystal system is monoclinic.

Unit cell a=7.3551 b=10.1665 c=3.2788 alpha=90.00 beta=114.69 gamma=90.00
Space group C2/m (No. 12)
Symmetry-distinct sites (fractional):
K 0.0000 0.0000 0.0000 x2
La 0.2500 0.2500 0.5000 x4
Tc 0.0000 0.5000 0.0000 x2

---

Entry 14:
## KLa2Tc (PBE)

Data for KLa2Tc after structural relaxation.

Summary:
As for the total energy: -40.56 eV for the cell shown. Its density of states at the Fermi level is 0.96 states/eV/atom. The crystal system is orthorhombic.

Unit cell a=3.7878 b=4.4690 c=18.6742 alpha=90.00 beta=90.00 gamma=90.00
Space group Amm2 (No. 38)
Symmetry-distinct sites (fractional):
K 0.0000 0.0000 0.0000 x2
La 0.0000 0.0000 0.6779 x2
La 0.5000 0.0000 0.3185 x2
Tc 0.5000 0.0000 0.1932 x2

---

Entry 15:
## K2LaTc (PBE)

Data for K2LaTc after structural relaxation.

Summary:
As for the total energy: -47.53 eV for the cell shown. Its density of states at the Fermi level is 0.81 states/eV/atom. The crystal system is cubic.

Unit cell a=8.2163 b=8.2163 c=8.2163 alpha=90.00 beta=90.00 gamma=90.00
Space group Fm-3m (No. 225)
Symmetry-distinct sites (fractional):
K 0.2500 0.2500 0.2500 x8
La 0.0000 0.0000 0.0000 x4
Tc 0.0000 0.0000 0.5000 x4

---

Entry 16:
## KLaTc2 (PBE)

Data for KLaTc2 after structural relaxation.

Summary:
As for the total energy: -44.05 eV for the cell shown. Its density of states at the Fermi level is 0.75 states/eV/atom. The crystal system is tetragonal.

Unit cell a=3.9762 b=3.9762 c=10.5179 alpha=90.00 beta=90.00 gamma=90.00
Space group I4/mmm (No. 139)
Symmetry-distinct sites (fractional):
K 0.0000 0.0000 0.0000 x2
La 0.0000 0.0000 0.5000 x2
Tc 0.0000 0.5000 0.2500 x4

---

Entry 17:
## K2LaTc (PBE)

Data for K2LaTc after structural relaxation.

Summary:
As for the total energy: -30.58 eV for the cell shown. Its density of states at the Fermi level is 1.16 states/eV/atom. The crystal system is orthorhombic.

Unit cell a=5.3085 b=5.3859 c=10.9678 alpha=90.00 beta=90.00 gamma=90.00
Space group Cmm2 (No. 35)
Symmetry-distinct sites (fractional):
K 0.0000 0.0000 0.0000 x2
K 0.0000 0.5000 0.3700 x2
La 0.0000 0.0000 0.6715 x2
Tc 0.0000 0.5000 0.7532 x2

---

Entry 18:
## KLaTc2 (PBE)

Data for KLaTc2 after structural relaxation.

Summary:
As for the total energy: -23.53 eV for the cell shown. Its density of states at the Fermi level is 0.81 states/eV/atom. The crystal system is tetragonal.

Unit cell a=4.0933 b=4.0933 c=7.5113 alpha=90.00 beta=90.00 gamma=90.00
Space group P4/mmm (No. 123)
Symmetry-distinct sites (fractional):
K 0.0000 0.0000 0.0000 x1
La 0.0000 0.0000 0.5000 x1
Tc 0.5000 0.5000 0.3567 x2

---

Entry 19:
## KLaTc2 (PBE)

Data for KLaTc2 after structural relaxation.

Summary:
As for the total energy: -45.24 eV for the cell shown. Its density of states at the Fermi level is 1.42 states/eV/atom. The crystal system is orthorhombic.

Unit cell a=3.2529 b=5.2316 c=10.2021 alpha=90.00 beta=90.00 gamma=90.00
Space group Cmmm (No. 65)
Symmetry-distinct sites (fractional):
K 0.0000 0.0000 0.0000 x2
La 0.0000 0.0000 0.5000 x2
Tc 0.0000 0.5000 0.2857 x4

---

Entry 20:
## K2LaTc (PBE)

Data for K2LaTc after structural relaxation.

Summary:
As for the total energy: -13.69 eV for the cell shown. Its density of states at the Fermi level is 1.15 states/eV/atom. The crystal system is orthorhombic.

Unit cell a=3.8338 b=4.9288 c=6.7669 alpha=90.00 beta=90.00 gamma=90.00
Space group Pmmm (No. 47)
Symmetry-distinct sites (fractional):
K 0.0000 0.0000 0.0000 x1
K 0.5000 0.5000 0.0000 x1
La 0.0000 0.5000 0.5000 x1
Tc 0.5000 0.0000 0.5000 x1